(1)
! Nd2Si3Pd2 GGA-PBE relaxed; values from VASP
! Space-group type: C2/m (12)
! DOS(E_F): 3.1 states/eV/cell
! Raw formation energy: -0.713 eV/atom
&SYSTEM
  ibrav = 0, nat = 7, ntyp = 3
/
ATOMIC_SPECIES
Nd 144.24 Nd.upf
Si 28.09 Si.upf
Pd 106.42 Pd.upf
ATOMIC_POSITIONS crystal
Nd 0.157 0.157 0.279
Nd 0.843 0.843 0.721
Si 0.403 0.403 0.066
Si 0.500 0.500 0.500
Si 0.597 0.597 0.934
Pd 0.137 0.137 0.757
Pd 0.863 0.863 0.243
CELL_PARAMETERS angstrom
5.256 -2.142 0.000
5.256 2.142 0.000
-2.664 0.000 5.949



(2)
! HAuSe GGA-PBE relaxed; values from VASP
! Space-group type: Immm (71)
! DOS(E_F): 4.9 states/eV/cell
! Calculated total energy: -19.0 eV/cell
&SYSTEM
  ibrav = 0, nat = 6, ntyp = 3
/
ATOMIC_SPECIES
H 1.01 H.upf
Au 196.97 Au.upf
Se 78.96 Se.upf
ATOMIC_POSITIONS crystal
H 0.085 0.000 0.085
H 0.915 0.000 0.915
Au 0.258 0.258 0.000
Au 0.742 0.742 0.000
Se 0.158 0.658 0.500
Se 0.842 0.342 0.500
CELL_PARAMETERS angstrom
-2.188 2.219 7.894
2.188 -2.219 7.894
2.188 2.219 -7.894



(3)
! CaPbO2 GGA-PBE relaxed; values from VASP
! Space-group type: R3m (160)
! DOS(E_F): 0.0 states/eV/cell
! Raw formation energy: -1.863 eV/atom
&SYSTEM
  ibrav = 0, nat = 4, ntyp = 3
/
ATOMIC_SPECIES
Ca 40.08 Ca.upf
Pb 207.20 Pb.upf
O 16.00 O.upf
ATOMIC_POSITIONS crystal
Ca 0.000 0.000 0.000
Pb 0.170 0.170 0.170
O 0.409 0.409 0.409
O 0.595 0.595 0.595
CELL_PARAMETERS angstrom
1.746 1.008 6.116
-1.746 1.008 6.116
0.000 -2.016 6.116



(4)
! Sm12Ru3Au5 GGA-PBE relaxed; values from VASP
! ΔH_f (0 K): -0.124 eV per atom
! Space-group type: Ia-3d (230)
! DOS(E_F): 80.1 states/eV/cell
&SYSTEM
  ibrav = 0, nat = 80, ntyp = 3
/
ATOMIC_SPECIES
Sm 150.36 Sm.upf
Ru 101.07 Ru.upf
Au 196.97 Au.upf
ATOMIC_POSITIONS crystal
Sm 0.061 0.230 0.131
Sm 0.061 0.330 0.929
Sm 0.071 0.631 0.401
Sm 0.071 0.939 0.670
Sm 0.099 0.730 0.670
Sm 0.099 0.869 0.429
Sm 0.131 0.061 0.230
Sm 0.131 0.571 0.901
Sm 0.170 0.230 0.599
Sm 0.170 0.439 0.571
Sm 0.230 0.131 0.061
Sm 0.230 0.599 0.170
Sm 0.270 0.330 0.901
Sm 0.270 0.439 0.369
Sm 0.330 0.901 0.270
Sm 0.330 0.929 0.061
Sm 0.369 0.270 0.439
Sm 0.369 0.599 0.929
Sm 0.401 0.071 0.631
Sm 0.401 0.830 0.770
Sm 0.429 0.099 0.869
Sm 0.429 0.830 0.561
Sm 0.439 0.369 0.270
Sm 0.439 0.571 0.170
Sm 0.561 0.429 0.830
Sm 0.561 0.631 0.730
Sm 0.571 0.170 0.439
Sm 0.571 0.901 0.131
Sm 0.599 0.170 0.230
Sm 0.599 0.929 0.369
Sm 0.631 0.401 0.071
Sm 0.631 0.730 0.561
Sm 0.670 0.071 0.939
Sm 0.670 0.099 0.730
Sm 0.730 0.561 0.631
Sm 0.730 0.670 0.099
Sm 0.770 0.401 0.830
Sm 0.770 0.869 0.939
Sm 0.830 0.561 0.429
Sm 0.830 0.770 0.401
Sm 0.869 0.429 0.099
Sm 0.869 0.939 0.770
Sm 0.901 0.131 0.571
Sm 0.901 0.270 0.330
Sm 0.929 0.061 0.330
Sm 0.929 0.369 0.599
Sm 0.939 0.670 0.071
Sm 0.939 0.770 0.869
Ru 0.125 0.250 0.375
Ru 0.125 0.375 0.750
Ru 0.250 0.375 0.125
Ru 0.250 0.875 0.625
Ru 0.375 0.125 0.250
Ru 0.375 0.750 0.125
Ru 0.625 0.250 0.875
Ru 0.625 0.875 0.750
Ru 0.750 0.125 0.375
Ru 0.750 0.625 0.875
Ru 0.875 0.625 0.250
Ru 0.875 0.750 0.625
Au 0.000 0.000 0.000
Au 0.000 0.000 0.500
Au 0.000 0.500 0.000
Au 0.000 0.500 0.500
Au 0.125 0.750 0.875
Au 0.125 0.875 0.250
Au 0.250 0.125 0.875
Au 0.250 0.625 0.375
Au 0.375 0.250 0.625
Au 0.375 0.625 0.750
Au 0.500 0.000 0.000
Au 0.500 0.000 0.500
Au 0.500 0.500 0.000
Au 0.500 0.500 0.500
Au 0.625 0.375 0.250
Au 0.625 0.750 0.375
Au 0.750 0.375 0.625
Au 0.750 0.875 0.125
Au 0.875 0.125 0.750
Au 0.875 0.250 0.125
CELL_PARAMETERS angstrom
-8.544 8.544 8.544
8.544 -8.544 8.544
8.544 8.544 -8.544



Q: Look up the DOS(E_F) of the first one.
A: 3.1 states/eV/cell